VASP calculation (PBE) on a relaxed structure of AlAs2Au.

a = 3.636 Å, b = 3.636 Å, c = 7.187 Å
α = 104.17°, β = 104.17°, γ = 59.60°
Fractional coordinates of all 4 atoms:
1 Al 0.000 0.000 0.000
2 As 0.244 0.244 0.734
3 As 0.504 0.504 0.507
4 Au 0.741 0.741 0.223

ΔH_f (0 K) = -0.2 eV per formula unit



VASP calculation (PBE) on a relaxed structure of KCaDyO3.

a = 7.347 Å, b = 3.465 Å, c = 10.006 Å
α = 90.00°, β = 91.60°, γ = 90.00°
Fractional coordinates of all 12 atoms:
1 K 0.129 0.250 0.212
2 K 0.871 0.750 0.788
3 Ca 0.165 0.250 0.562
4 Ca 0.835 0.750 0.438
5 Dy 0.398 0.750 0.874
6 Dy 0.602 0.250 0.126
7 O 0.145 0.750 0.428
8 O 0.243 0.250 0.789
9 O 0.388 0.750 0.088
10 O 0.612 0.250 0.912
11 O 0.757 0.750 0.211
12 O 0.855 0.250 0.572

Raw formation energy = -2588.6 meV/atom



VASP calculation (PBE) on a relaxed structure of LiPrNdRh.

a = 5.123 Å, b = 5.123 Å, c = 5.123 Å
α = 60.00°, β = 60.00°, γ = 60.00°
Fractional coordinates of all 4 atoms:
1 Li 0.000 0.000 0.000
2 Pr 0.750 0.750 0.750
3 Nd 0.250 0.250 0.250
4 Rh 0.500 0.500 0.500

ΔH_f (0 K) = -1.3 eV per formula unit